Arrangement a

Computed, not measured: a relaxed structure of AlTe2Br at the PBE level of DFT.

Cell lengths 3.668, 6.585, 5.921 Å; angles 77.64, 90.00, 90.00 degrees
Positions (direct):
Te  0.000  0.109  0.986
Te  0.500  0.334  0.266
Al  0.000  0.399  0.596
Br  0.500  0.658  0.652


Arrangement b

Computed, not measured: a relaxed structure of AlTe2Br at the PBE level of DFT.

Cell lengths 3.443, 3.443, 10.634 Å; angles 90.00, 90.00, 113.10 degrees
Positions (direct):
Te  0.000  0.000  0.014
Te  0.500  0.500  0.318
Al  0.000  0.000  0.498
Br  0.500  0.500  0.669


Which is most stable, and by how much? arrangement a, by 0.304 eV/atom.


Arrangement a

Computed, not measured: a relaxed structure of B2C at the PBE level of DFT.

Cell lengths 2.708, 2.708, 13.648 Å; angles 90.00, 90.00, 120.00 degrees
Positions (direct):
B  0.667  0.333  0.821
B  0.000  0.000  0.884
B  0.667  0.333  0.688
B  0.667  0.333  0.402
B  0.000  0.000  0.365
B  0.000  0.000  0.485
B  0.333  0.667  0.561
B  0.667  0.333  0.175
C  0.333  0.667  0.675
C  0.333  0.667  0.157
C  0.000  0.000  0.000
C  0.333  0.667  0.039


Arrangement b

Computed, not measured: a relaxed structure of B2C at the PBE level of DFT.

Cell lengths 2.377, 2.444, 14.085 Å; angles 90.00, 90.00, 90.00 degrees
Positions (direct):
B  0.750  0.500  0.140
B  0.250  0.500  0.235
B  0.750  0.500  0.765
B  0.250  0.500  0.860
B  0.250  0.000  0.952
B  0.750  0.000  0.048
B  0.750  0.500  0.453
B  0.250  0.500  0.547
C  0.250  0.000  0.626
C  0.750  0.000  0.687
C  0.250  0.000  0.313
C  0.750  0.000  0.374


Which is most stable, and by how much? arrangement b, by 0.226 eV/atom.


Arrangement a

Computed, not measured: a relaxed structure of TaTl2Cr at the PBE level of DFT.

Cell lengths 3.099, 4.203, 6.209 Å; angles 90.00, 90.00, 90.00 degrees
Each line ends with the local moment (μB).
Positions (direct):
Cr  0.500  0.500  0.250  3.43
Ta  0.500  0.500  0.750  -0.32
Tl  0.000  0.000  0.006  -0.03
Tl  0.000  0.000  0.494  -0.03


Arrangement b

Computed, not measured: a relaxed structure of TaTl2Cr at the PBE level of DFT.

Cell lengths 5.815, 5.815, 5.815 Å; angles 148.57, 125.68, 64.12 degrees
Each line ends with the local moment (μB).
Positions (direct):
Cr  0.750  0.250  0.500  3.08
Ta  0.250  0.750  0.500  -0.44
Tl  0.989  0.989  0.000  -0.03
Tl  0.511  0.511  0.000  -0.03


Which is most stable, and by how much? arrangement a, by 0.006 eV/atom.


Arrangement a

Computed, not measured: a relaxed structure of RbCaTe3 at the PBE level of DFT.

Cell lengths 6.112, 6.112, 6.112 Å; angles 90.00, 90.00, 90.00 degrees
Positions (direct):
Ca  0.500  0.500  0.500
Te  0.000  0.500  0.000
Te  0.000  0.000  0.500
Te  0.500  0.000  0.000
Rb  0.000  0.000  0.000


Arrangement b

Computed, not measured: a relaxed structure of RbCaTe3 at the PBE level of DFT.

Cell lengths 6.233, 6.476, 18.388 Å; angles 90.00, 90.00, 90.00 degrees
Positions (direct):
Rb  0.467  0.500  0.250
Rb  0.533  0.500  0.750
Rb  0.033  0.000  0.250
Rb  0.967  0.000  0.750
Ca  0.250  0.250  0.999
Ca  0.750  0.750  0.001
Ca  0.250  0.750  0.501
Ca  0.750  0.250  0.499
Te  0.250  0.250  0.420
Te  0.750  0.750  0.580
Te  0.250  0.750  0.080
Te  0.750  0.250  0.920
Te  0.925  0.427  0.120
Te  0.075  0.573  0.880
Te  0.925  0.573  0.380
Te  0.575  0.927  0.380
Te  0.075  0.427  0.620
Te  0.425  0.073  0.620
Te  0.575  0.073  0.120
Te  0.425  0.927  0.880


Which is most stable, and by how much? arrangement b, by 1.232 eV/atom.